Entry 1:
# Zn5CdCu6

Crystalline Zn5CdCu6 at its relaxed geometry (PBE-GGA, Alexandria via LeMat-Bulk).

```
Zn5CdCu6
1.0
3.927 -0.003 -1.101
-2.860 6.031 -2.667
-0.107 -0.416 7.175
Cu Cd Zn
6 1 5
direct
0.227 0.727 0.727
0.263 0.091 0.434
0.773 0.273 0.273
0.737 0.566 0.909
0.737 0.909 0.566
0.263 0.434 0.091
0.000 0.000 0.000
0.500 0.836 0.164
0.000 0.328 0.672
0.000 0.672 0.328
0.500 0.164 0.836
0.500 0.500 0.500
```

The total magnetic moment comes out at 0.0 μB per cell. As for the density of states at the Fermi level: 1.8 states/eV/f.u. Its formation energy from the elements is -0.05 eV per atom.


Entry 2:
# ZnCd2Cu2

Crystalline ZnCd2Cu2 at its relaxed geometry (PBE-GGA, Alexandria via LeMat-Bulk).

```
ZnCd2Cu2
1.0
7.335 0.000 0.000
0.000 7.335 0.000
0.000 0.000 3.235
Cu Cd Zn
4 4 2
direct
0.866 0.366 0.500
0.634 0.866 0.500
0.134 0.634 0.500
0.366 0.134 0.500
0.339 0.839 0.000
0.661 0.161 0.000
0.839 0.661 0.000
0.161 0.339 0.000
0.500 0.500 0.000
0.000 0.000 0.000
```

The value obtained for the relative energy among the computed polymorphs is 120.3 meV/atom. The total magnetic moment comes out at 0.0 μB per cell. As for the density of states at the Fermi level: 1.1 states/eV/f.u. Its formation energy from the elements is 0.18 eV per atom.


Entry 3:
# ZnCdCu6

Crystalline ZnCdCu6 at its relaxed geometry (PBE-GGA, Alexandria via LeMat-Bulk).

```
ZnCdCu6
1.0
-4.011 1.669 -0.113
-1.744 -4.360 -2.496
-0.057 0.223 5.313
Cu Zn Cd
6 1 1
direct
0.000 0.591 0.409
0.500 0.915 0.580
0.000 0.067 0.408
0.000 0.592 0.933
0.500 0.420 0.085
0.500 0.915 0.085
0.000 0.083 0.917
0.500 0.416 0.584
```

The total magnetic moment comes out at 0.0 μB per cell. As for the density of states at the Fermi level: 1.2 states/eV/f.u. Its formation energy from the elements is 0.00 eV per atom.


Entry 4:
# Zn2Cd2Cu

Crystalline Zn2Cd2Cu at its relaxed geometry (PBE-GGA, Alexandria via LeMat-Bulk).

```
Zn2Cd2Cu
1.0
-2.484 -5.583 -2.273
5.280 -3.201 2.093
-1.916 -0.687 3.782
Cd Cu Zn
4 2 4
direct
0.670 0.830 0.500
0.830 0.330 0.500
0.170 0.670 0.500
0.330 0.170 0.500
0.000 0.000 0.000
0.500 0.500 0.000
0.141 0.359 0.000
0.359 0.859 0.000
0.859 0.641 0.000
0.641 0.141 0.000
```

The value obtained for the relative energy among the computed polymorphs is 0.0 meV/atom. The total magnetic moment comes out at 0.0 μB per cell. As for the density of states at the Fermi level: 2.0 states/eV/f.u. Its formation energy from the elements is 0.13 eV per atom.


Entry 5:
# Zn4CdCu

Crystalline Zn4CdCu at its relaxed geometry (PBE-GGA, Alexandria via LeMat-Bulk).

```
Zn4CdCu
1.0
0.000 3.603 3.603
3.603 0.000 3.603
3.603 3.603 0.000
Zn Cd Cu
4 1 1
direct
0.374 0.374 0.374
0.374 0.374 0.877
0.877 0.374 0.374
0.374 0.877 0.374
0.750 0.750 0.750
0.000 0.000 0.000
```

The total magnetic moment comes out at 0.0 μB per cell. As for the density of states at the Fermi level: 0.6 states/eV/f.u. Its formation energy from the elements is 0.07 eV per atom.


Entry 6:
# ZnCd2Cu2

Crystalline ZnCd2Cu2 at its relaxed geometry (PBE-GGA, Alexandria via LeMat-Bulk).

```
ZnCd2Cu2
1.0
-1.921 -3.411 0.424
1.569 -1.302 -3.368
4.612 -4.665 1.651
Cu Zn Cd
2 1 2
direct
0.594 0.594 0.812
0.406 0.406 0.188
0.000 0.000 0.000
0.750 0.250 0.500
0.250 0.750 0.500
```

The value obtained for the relative energy among the computed polymorphs is 277.7 meV/atom. The total magnetic moment comes out at 0.0 μB per cell. As for the density of states at the Fermi level: 2.0 states/eV/f.u. Its formation energy from the elements is 0.33 eV per atom.


Entry 7:
# Zr2CdCu

Crystalline Zr2CdCu at its relaxed geometry (PBE-GGA, Alexandria via LeMat-Bulk).

```
Zr2CdCu
1.0
5.709 -0.012 -0.005
4.849 3.015 -0.005
2.166 0.616 4.592
Zr Cu Cd
2 1 1
direct
0.746 0.746 0.775
0.978 0.978 0.989
0.249 0.249 0.294
0.527 0.527 0.442
```

The total magnetic moment comes out at 0.0 μB per cell. As for the density of states at the Fermi level: 3.9 states/eV/f.u. Its formation energy from the elements is -0.03 eV per atom.


Entry 8:
# ZrCdCu2

Crystalline ZrCdCu2 at its relaxed geometry (PBE-GGA, Alexandria via LeMat-Bulk).

```
ZrCdCu2
1.0
-2.786 -0.384 -1.532
-1.364 -0.980 2.727
-1.650 6.277 1.429
Cd Cu Zr
1 2 1
direct
0.500 0.500 0.750
0.000 0.000 0.999
0.000 0.000 0.501
0.500 0.500 0.250
```

The total magnetic moment comes out at 0.0 μB per cell. As for the density of states at the Fermi level: 2.8 states/eV/f.u. Its formation energy from the elements is -0.05 eV per atom.


Entry 9:
# ZrCd2Cu

Crystalline ZrCd2Cu at its relaxed geometry (PBE-GGA, Alexandria via LeMat-Bulk).

```
ZrCd2Cu
1.0
-1.043 2.064 -3.826
-4.160 -1.616 0.261
0.438 5.985 5.722
Cd Cu Zr
4 2 2
direct
0.500 0.000 0.500
0.142 0.142 0.783
0.000 0.500 0.500
0.858 0.858 0.217
0.249 0.751 0.000
0.751 0.249 0.000
0.646 0.646 0.792
0.354 0.354 0.208
```

The total magnetic moment comes out at 0.0 μB per cell. As for the density of states at the Fermi level: 2.0 states/eV/f.u. Its formation energy from the elements is -0.13 eV per atom.


Entry 10:
# ZrCd3Cu

Crystalline ZrCd3Cu at its relaxed geometry (PBE-GGA, Alexandria via LeMat-Bulk).

```
ZrCd3Cu
1.0
-2.949 -2.450 2.924
3.739 -1.126 2.828
-0.754 3.997 2.589
Zr Cd Cu
1 3 1
direct
0.500 0.500 0.500
0.000 0.000 0.500
0.000 0.500 0.000
0.500 0.000 0.000
0.000 0.000 0.000
```

The value obtained for the relative energy among the computed polymorphs is 0.0 meV/atom. The total magnetic moment comes out at 0.0 μB per cell. As for the density of states at the Fermi level: 3.0 states/eV/f.u. Its formation energy from the elements is 0.38 eV per atom.


Entry 11:
# ZrCdCu2

Crystalline ZrCdCu2 at its relaxed geometry (PBE-GGA, Alexandria via LeMat-Bulk).

```
ZrCdCu2
1.0
4.277 0.000 0.000
0.000 3.185 -0.002
0.000 1.589 5.059
Cu Zr Cd
2 1 1
direct
0.000 0.191 0.991
0.500 0.056 0.264
0.000 0.471 0.434
0.500 0.782 0.811
```

The total magnetic moment comes out at 0.0 μB per cell. As for the density of states at the Fermi level: 2.7 states/eV/f.u. Its formation energy from the elements is -0.02 eV per atom.


Entry 12:
# Zr2CdCu

Crystalline Zr2CdCu at its relaxed geometry (PBE-GGA, Alexandria via LeMat-Bulk).

```
Zr2CdCu
1.0
5.388 0.013 0.000
2.135 4.947 0.000
-3.762 -2.480 2.955
Cu Cd Zr
1 1 2
direct
0.750 0.250 0.500
0.500 0.500 0.000
0.250 0.750 0.500
0.000 0.000 0.000
```

The total magnetic moment comes out at 0.0 μB per cell. As for the density of states at the Fermi level: 5.3 states/eV/f.u. Its formation energy from the elements is 0.06 eV per atom.